Entry 1:
{
  "formula": "CrH",
  "functional": "PBE",
  "state": "relaxed",
  "lattice_angstrom": [[-3.596, 3.596, 1.331], [3.596, -3.596, 1.331], [3.596, 3.596, -1.331]],
  "species": ["Cr", "Cr", "Cr", "Cr", "H", "H", "H", "H"],
  "frac_coords": [[0.133, 0.656, 0.789], [0.344, 0.133, 0.477], [0.656, 0.867, 0.523], [0.867, 0.344, 0.211], [0.091, 0.213, 0.304], [0.213, 0.909, 0.122], [0.787, 0.091, 0.878], [0.909, 0.787, 0.696]],
  "magmom_total_mub_per_fu": 0.00,
  "final_energy_ev_per_atom": -6.2825,
  "sg": "I4/m"
}

Entry 2:
{
  "formula": "CsRb2SnS4",
  "functional": "PBE",
  "state": "relaxed",
  "lattice_angstrom": [[-4.191, 4.191, 4.515], [4.191, -4.191, 4.515], [4.191, 4.191, -4.515]],
  "species": ["Cs", "Rb", "Rb", "Sn", "S", "S", "S", "S"],
  "frac_coords": [[0.000, 0.000, 0.000], [0.250, 0.750, 0.500], [0.750, 0.250, 0.500], [0.500, 0.500, 0.000], [0.185, 0.528, 0.000], [0.472, 0.472, 0.657], [0.528, 0.185, 0.000], [0.815, 0.815, 0.343]],
  "raw_formation_energy_mev_per_atom": -786,
  "magmom_total_mub_per_fu": 1.14,
  "sg": "I-42m"
}

Entry 3:
{
  "formula": "Hf2CdHg",
  "functional": "PBE",
  "state": "relaxed",
  "lattice_angstrom": [[4.403, 0.000, 0.000], [0.000, 4.403, 0.000], [0.000, 0.000, 4.339]],
  "species": ["Hf", "Hf", "Cd", "Hg"],
  "frac_coords": [[0.000, 0.500, 0.000], [0.500, 0.000, 0.000], [0.000, 0.000, 0.500], [0.500, 0.500, 0.500]],
  "magmom_total_mub_per_fu": 0.52,
  "final_energy_ev_per_atom": -5.2926,
  "sg": "P4/mmm"
}

Entry 4:
{
  "formula": "CoRe",
  "functional": "PBE",
  "state": "relaxed",
  "lattice_angstrom": [[3.646, 0.000, 0.000], [-1.823, 3.157, 0.000], [0.000, 0.000, 5.138]],
  "species": ["Co", "Co", "Re", "Re"],
  "frac_coords": [[0.333, 0.667, 0.250], [0.667, 0.333, 0.750], [0.000, 0.000, 0.000], [0.000, 0.000, 0.500]],
  "magmom_total_mub_per_fu": 0.00,
  "final_energy_ev_per_atom": -8.8914,
  "sg": "P6_3/mmc"
}

The evaluated mass density for the records listed, in turn: 5.12 2.88 13.22 13.77 g/cm3.